# BaTm4Mn3O12 | Alexandria | PBE with a Hubbard U | relaxed
# - total moment (μB per formula unit) = 13.16
# - energy (eV per atom) = -7.71
data_BaTm4Mn3O12
_space_group_name_H-M_alt 'I m -3'
_space_group_IT_number 204
_space_group_name_Hall '-I 2 2 3'
_cell_length_a 8.1402
_cell_length_b 8.1402
_cell_length_c 8.1402
_cell_angle_alpha 90.00
_cell_angle_beta 90.00
_cell_angle_gamma 90.00
loop_
_atom_site_label
_atom_site_fract_x
_atom_site_fract_y
_atom_site_fract_z
_atom_site_occupancy
Ba1 0.0000 0.0000 0.0000 1
Tm1 0.2500 0.2500 0.2500 1
Mn1 0.0000 0.0000 0.5000 1
O1 0.0000 0.3235 0.1612 1